## BeReRu2 (PBE)

Data for a relaxed BeReRu2 crystal.

Computed properties:
The value obtained for the formation energy is 0.0269 eV/atom. The value obtained for the density of states at the Fermi level is 3.552 states/eV/cell. Its calculated total energy is -8.65 eV/atom.

a b c (Å): 8.248 8.248 8.248
angles (deg): 19.10 19.10 19.10
Sites, in units of the cell vectors:
Re  0.750  0.750  0.750
Be  0.250  0.250  0.250
Ru  0.994  0.994  0.994
Ru  0.506  0.506  0.506

## BeReRu2 (PBE)

Data for a relaxed BeReRu2 crystal.

Computed properties:
The value obtained for the formation energy is 0.5277 eV/atom. The value obtained for the density of states at the Fermi level is 6.819 states/eV/cell. Its calculated total energy is -8.15 eV/atom.

a b c (Å): 6.569 6.569 5.263
angles (deg): 51.38 51.38 90.00
Sites, in units of the cell vectors:
Re  0.000  0.000  0.000
Re  0.750  0.250  0.500
Be  0.500  0.500  0.000
Be  0.250  0.750  0.500
Ru  0.555  0.125  0.250
Ru  0.195  0.625  0.250
Ru  0.375  0.445  0.750
Ru  0.875  0.805  0.750

## Be2ReRu (PBE)

Data for a relaxed Be2ReRu crystal.

Computed properties:
The value obtained for the formation energy is 0.0983 eV/atom. The value obtained for the density of states at the Fermi level is 2.814 states/eV/cell. Its calculated total energy is -7.20 eV/atom.

a b c (Å): 2.918 4.345 3.750
angles (deg): 90.00 90.00 90.00
Sites, in units of the cell vectors:
Re  0.500  0.000  0.500
Be  0.000  0.000  0.000
Be  0.500  0.500  0.000
Ru  0.000  0.500  0.500

## BeReRu2 (PBE)

Data for a relaxed BeReRu2 crystal.

Computed properties:
The value obtained for the formation energy is -0.0538 eV/atom. The value obtained for the density of states at the Fermi level is 2.476 states/eV/cell. Its calculated total energy is -8.74 eV/atom.

a b c (Å): 2.747 2.747 8.171
angles (deg): 80.32 80.32 60.00
Sites, in units of the cell vectors:
Be  0.667  0.667  0.999
Re  0.500  0.500  0.499
Ru  0.077  0.077  0.769
Ru  0.256  0.256  0.233